An optimized crystal structure of Tl4GaNi2, computed with PBE.

Values from the calculation:
* N(E_F): 8.369 states/eV per cell
* energy of formation: 459 meV per atom
* ρ: 8.9 g/cm³

a b c (Å): 5.398 5.398 12.879
angles (deg): 90.00 90.00 90.00
Space group I4/mmm (No. 139)
Symmetry-distinct sites (fractional):
1 Tl 0.000 0.000 0.216 (multiplicity 4)
2 Tl 0.000 0.500 0.000 (multiplicity 4)
3 Ga 0.000 0.000 0.000 (multiplicity 2)
4 Ni 0.000 0.000 0.412 (multiplicity 4)